Below is a geometry-optimized Pu2CoPdO8 structure, with properties calculated at the PBE+U level.

a b c (Å): 5.9353 5.9353 5.9353
angles (deg): 112.30 112.30 103.94
With the nearest neighbours (Å) after each atom.
Fractional coordinates of all 12 atoms:
Pu1 0.0000 0.0000 0.0000  4 O 2.00
Pu2 0.7500 0.2500 0.5000  4 O 2.05
Co1 0.5000 0.5000 0.0000  4 O 1.95
Pd1 0.2500 0.7500 0.5000  4 O 2.08
O1 0.0301 0.3313 0.3012  1 Pu 2.00, 1 Pd 2.08
O2 0.0301 0.7289 0.6988  1 Pu 2.00, 1 Pd 2.08
O3 0.1058 0.3000 0.8059  1 Co 1.95, 1 Pu 2.05
O4 0.2711 0.9699 0.3012  1 Pu 2.00, 1 Pd 2.08
O5 0.4941 0.3000 0.1941  1 Co 1.95, 1 Pu 2.05
O6 0.6687 0.9699 0.6988  1 Pu 2.00, 1 Pd 2.08
O7 0.7000 0.5059 0.8059  1 Co 1.95, 1 Pu 2.05
O8 0.7000 0.8942 0.1941  1 Co 1.95, 1 Pu 2.05

size of the total moment: 4.9 Bohr magnetons per cell
raw total energy: -8.24 eV per atom
ρ: 8.1 g/cm³